No. 1
Compound: PRhAu2
Source: Alexandria via LeMat-Bulk
Functional: PBE
Structure: optimized geometry

Cell and atoms, written as CIF:
```
data_PRhAu2
_cell_length_a 3.0157
_cell_length_b 3.0157
_cell_length_c 25.1268
_cell_angle_alpha 90.00
_cell_angle_beta 90.00
_cell_angle_gamma 120.00
_space_group_name_H-M_alt 'R -3 m'
_space_group_IT_number 166
_space_group_name_Hall '-R 3 2"'
loop_
_atom_site_label
_atom_site_fract_x
_atom_site_fract_y
_atom_site_fract_z
P1 0.0000 0.0000 0.0000
Rh1 0.0000 0.0000 0.5000
Au1 0.0000 0.0000 0.2546
```

The magnetic moment is 0.0680 μB per atom. The formation enthalpy at 0 K is 0.34 eV/atom. Its raw total energy is -17.96 eV/f.u. Its mass density is 13.286 g/cm3.

---

No. 2
Compound: PRh2Au
Source: Alexandria via LeMat-Bulk
Functional: PBE
Structure: optimized geometry

Cell and atoms, written as CIF:
```
data_PRh2Au
_cell_length_a 2.8836
_cell_length_b 2.8836
_cell_length_c 25.7146
_cell_angle_alpha 90.00
_cell_angle_beta 90.00
_cell_angle_gamma 120.00
_space_group_name_H-M_alt 'R 3 m'
_space_group_IT_number 160
_space_group_name_Hall 'R 3 -2"'
loop_
_atom_site_label
_atom_site_fract_x
_atom_site_fract_y
_atom_site_fract_z
P1 0.0000 0.0000 0.0000
Rh1 0.0000 0.0000 0.4844
Rh2 0.0000 0.0000 0.7297
Au1 0.0000 0.0000 0.2415
```

The magnetic moment is 0.2021 μB per atom. The formation enthalpy at 0 K is 0.07 eV/atom. Its raw total energy is -23.13 eV/f.u. Its mass density is 11.669 g/cm3.

---

No. 3
Compound: PRhAu2
Source: Alexandria via LeMat-Bulk
Functional: PBE
Structure: optimized geometry

Cell and atoms, written as CIF:
```
data_PRhAu2
_cell_length_a 6.382
_cell_length_b 6.382
_cell_length_c 6.382
_cell_angle_alpha 90.00
_cell_angle_beta 90.00
_cell_angle_gamma 90.00
_space_group_name_H-M_alt 'F -4 3 m'
_space_group_IT_number 216
_space_group_name_Hall 'F -4 2 3'
loop_
_atom_site_label
_atom_site_fract_x
_atom_site_fract_y
_atom_site_fract_z
P1 0.000 0.000 0.000
Rh1 0.250 0.250 0.250
Au1 0.000 0.000 0.500
Au2 0.250 0.250 0.750
```

The magnetic moment is 0.0001 μB per atom. The formation enthalpy at 0 K is 0.28 eV/atom. Its raw total energy is -18.21 eV/f.u. Its mass density is 13.485 g/cm3.

---

No. 4
Compound: PRh2Au
Source: Alexandria via LeMat-Bulk
Functional: PBE
Structure: optimized geometry

Cell and atoms, written as CIF:
```
data_PRh2Au
_cell_length_a 3.840
_cell_length_b 3.840
_cell_length_c 8.182
_cell_angle_alpha 90.00
_cell_angle_beta 90.00
_cell_angle_gamma 90.00
_space_group_name_H-M_alt 'I -4 m 2'
_space_group_IT_number 119
_space_group_name_Hall 'I -4 -2'
loop_
_atom_site_label
_atom_site_fract_x
_atom_site_fract_y
_atom_site_fract_z
P1 0.000 0.000 0.000
Rh1 0.000 0.000 0.500
Rh2 0.000 0.500 0.750
Au1 0.000 0.500 0.250
```

The magnetic moment is 0.1997 μB per atom. The formation enthalpy at 0 K is 0.25 eV/atom. Its raw total energy is -22.37 eV/f.u. Its mass density is 11.942 g/cm3.

---

No. 5
Compound: P2RhAu2
Source: Alexandria via LeMat-Bulk
Functional: PBE
Structure: optimized geometry

Cell and atoms, written as CIF:
```
data_P2RhAu2
_cell_length_a 5.907
_cell_length_b 5.907
_cell_length_c 4.908
_cell_angle_alpha 90.00
_cell_angle_beta 90.00
_cell_angle_gamma 90.00
_space_group_name_H-M_alt 'P 4/m b m'
_space_group_IT_number 127
_space_group_name_Hall '-P 4 2ab'
loop_
_atom_site_label
_atom_site_fract_x
_atom_site_fract_y
_atom_site_fract_z
P1 0.132 0.368 0.000
Rh1 0.000 0.000 0.000
Au1 0.178 0.322 0.500
```

The magnetic moment is 0.0000 μB per atom. The formation enthalpy at 0 K is -0.20 eV/atom. Its raw total energy is -25.70 eV/f.u. Its mass density is 10.836 g/cm3.

---

No. 6
Compound: PRh2Au
Source: Alexandria via LeMat-Bulk
Functional: PBE
Structure: optimized geometry

Cell and atoms, written as CIF:
```
data_PRh2Au
_cell_length_a 2.956
_cell_length_b 3.145
_cell_length_c 13.768
_cell_angle_alpha 90.00
_cell_angle_beta 90.00
_cell_angle_gamma 90.00
_space_group_name_H-M_alt 'I m m 2'
_space_group_IT_number 44
_space_group_name_Hall 'I 2 -2'
loop_
_atom_site_label
_atom_site_fract_x
_atom_site_fract_y
_atom_site_fract_z
P1 0.000 0.000 0.000
Rh1 0.000 0.000 0.428
Rh2 0.000 0.500 0.115
Au1 0.000 0.500 0.754
```

The magnetic moment is 0.0000 μB per atom. The formation enthalpy at 0 K is -0.26 eV/atom. Its raw total energy is -24.41 eV/f.u. Its mass density is 11.252 g/cm3.

---

- The highest mass density belongs to which entry?
  number 3

---

- What is the magnetic moment in the sixth record?
  0.0000 μB per atom

---

- What is the magnetic moment in the fourth record?
  0.1997 μB per atom

---

- Look up the mass density of the fifth one.
  10.836 g/cm3